PaNiTe: relaxed, PBE.

Formation energy (no corrections) in eV per formula unit: -1.32
Space-group type: No. 216
Uncorrected energy in eV/atom: -6.58

abc: 4.5332 4.5332 4.5332
angles: 60.00 60.00 60.00
Positions (direct):
1 Pa 0.0000 0.0000 0.0000
2 Ni 0.2500 0.2500 0.2500
3 Te 0.5000 0.5000 0.5000